DFT (PBE) results for a relaxed structure of Na2Hg4Pt.

Properties
The formation enthalpy at 0 K comes out at -0.129 eV/atom.

a b c (Å): 5.337 5.337 15.315
angles (deg): 90.00 90.00 90.00
Space group I4/mmm (No. 139)
Inequivalent atoms, fractional coordinates:
Na 0.000 0.000 0.123 x4
Hg 0.000 0.000 0.319 x4
Hg 0.000 0.500 0.000 x4
Pt 0.000 0.000 0.500 x2